## CsNiAuF6 (GGA+U)

Data for CsNiAuF6 after structural relaxation.

Unit cell a=5.431 b=5.351 c=6.734 alpha=91.62 beta=86.56 gamma=61.69
Site moments in Bohr magnetons follow the coordinates.
Fractional positions:
Au 0.277 0.357 0.576  0.01
F 0.608 0.680 0.152  0.04
F 0.328 0.830 0.561  0.05
F 0.666 0.099 0.449  0.03
F 0.107 0.451 0.316  0.01
F 0.881 0.600 0.686  0.01
F 0.415 0.284 0.840  0.00
Ni 0.683 0.706 0.417  1.81
Cs 0.035 0.992 0.005  0.00

Properties
As for the energy: -3.760 eV/atom. As for the total magnetization: 2.0 μB per cell. The volume is 171.6 Å³/cell.